(1)
The following is a DFT calculation (PBE) of a relaxed structure of Ho3Rh.

Cell and atoms, written as CIF:
```
data_Ho3Rh
_chemical_formula_sum 'Ho24 Rh8'
_space_group_name_H-M_alt 'P 42/n'
_space_group_IT_number 86
_cell_length_a 11.497
_cell_length_b 11.497
_cell_length_c 6.287
_cell_angle_alpha 90.00
_cell_angle_beta 90.00
_cell_angle_gamma 90.00
loop_
_space_group_symop_operation_xyz
'x,y,z'
'-x,-y,-z'
'-y,x+1/2,z+1/2'
'y,-x+1/2,-z+1/2'
'-x+1/2,-y+1/2,z'
'x+1/2,y+1/2,-z'
'y+1/2,-x,z+1/2'
'-y+1/2,x,-z+1/2'
loop_
_atom_site_label
_atom_site_type_symbol
_atom_site_fract_x
_atom_site_fract_y
_atom_site_fract_z
_atom_site_occupancy
Ho1 Ho 0.036 0.593 0.200 1
Ho2 Ho 0.115 0.665 0.692 1
Ho3 Ho 0.117 0.192 0.024 1
Rh1 Rh 0.058 0.183 0.510 1
```

Values from the calculation:
Density (Mg/m³): 9.6
Formation energy from the elements (meV per atom): -483

(2)
The following is a DFT calculation (PBE) of a relaxed structure of Ho4Ru2Rh.

Cell and atoms, written as CIF:
```
data_Ho4Ru2Rh
_chemical_formula_sum 'Ho8 Ru4 Rh2'
_space_group_name_H-M_alt 'I 4/m m m'
_space_group_IT_number 139
_space_group_name_Hall '-I 4 2'
_cell_length_a 6.771
_cell_length_b 6.771
_cell_length_c 6.775
_cell_angle_alpha 90.00
_cell_angle_beta 90.00
_cell_angle_gamma 90.00
loop_
_atom_site_label
_atom_site_type_symbol
_atom_site_fract_x
_atom_site_fract_y
_atom_site_fract_z
_atom_site_occupancy
Ho1 Ho 0.250 0.250 0.250 1
Ru1 Ru 0.000 0.500 0.000 1
Rh1 Rh 0.000 0.000 0.000 1
```

Values from the calculation:
Density (Mg/m³): 10.3
E above lowest polymorph (eV per formula unit): 0.00
Formation energy from the elements (meV per atom): -480

(3)
The following is a DFT calculation (PBE) of a relaxed structure of Ho2Ru3Rh.

Cell and atoms, written as CIF:
```
data_Ho2Ru3Rh
_chemical_formula_sum 'Ho6 Ru9 Rh3'
_space_group_name_H-M_alt 'R -3 m'
_space_group_IT_number 166
_space_group_name_Hall '-R 3 2"'
_cell_length_a 5.2294
_cell_length_b 5.2294
_cell_length_c 13.5449
_cell_angle_alpha 90.00
_cell_angle_beta 90.00
_cell_angle_gamma 120.00
loop_
_atom_site_label
_atom_site_type_symbol
_atom_site_fract_x
_atom_site_fract_y
_atom_site_fract_z
_atom_site_occupancy
Ho1 Ho 0.0000 0.0000 0.1221 1
Ru1 Ru 0.0000 0.5000 0.0000 1
Rh1 Rh 0.0000 0.0000 0.5000 1
```

Values from the calculation:
Density (Mg/m³): 11.4
Formation energy from the elements (meV per atom): -437

(4)
The following is a DFT calculation (PBE) of a relaxed structure of Ho6Ru2Rh.

Cell and atoms, written as CIF:
```
data_Ho6Ru2Rh
_chemical_formula_sum 'Ho12 Ru4 Rh2'
_space_group_name_H-M_alt 'P 1 21/c 1'
_space_group_IT_number 14
_space_group_name_Hall '-P 2ybc'
_cell_length_a 6.580
_cell_length_b 7.247
_cell_length_c 11.287
_cell_angle_alpha 90.00
_cell_angle_beta 123.28
_cell_angle_gamma 90.00
loop_
_atom_site_label
_atom_site_type_symbol
_atom_site_fract_x
_atom_site_fract_y
_atom_site_fract_z
_atom_site_occupancy
Ho1 Ho 0.074 0.039 0.239 1
Ho2 Ho 0.223 0.670 0.073 1
Ho3 Ho 0.396 0.170 0.073 1
Ru1 Ru 0.315 0.135 0.782 1
Rh1 Rh 0.500 0.000 0.500 1
```

Values from the calculation:
Density (Mg/m³): 9.6
E above lowest polymorph (eV per formula unit): 0.16
Formation energy from the elements (meV per atom): -415